V2CuBrO | GGA+U | relaxed

E_tot: -3.918 eV per atom
Size of the total moment: 1.36 μB/atom

a b c (Å): 4.9945 4.4452 4.9945
angles (deg): 90.00 90.00 90.00
With the nearest neighbours (Å) after each atom.
Fractional coordinates of all 5 atoms:
1 Br 0.0000 0.5000 0.0000  2 Cu 2.22
2 V 0.5000 0.0000 0.0000  2 Cu 2.50
3 V 0.0000 0.0000 0.5000  2 Cu 2.50
4 Cu 0.0000 0.0000 0.0000  2 Br 2.22
5 O 0.5000 0.5000 0.5000  8 V 3.34, 4 Br 3.53